Entry 1:
# SrVO2

A relaxed SrVO2 crystal (PBE+U, Alexandria via LeMat-Bulk).

Results
For the excess energy over the best structure of this formula in the dataset, the calculation gives 0.413 eV per atom.

a b c (Å): 6.9694 6.9694 6.9694
angles (deg): 27.25 27.25 27.25
Last column: nearest neighbours and their distance in Å.
Fractional coordinates of all 4 atoms:
Sr: 0.0000 0.0000 0.0000  2 O 2.36
V: 0.5000 0.5000 0.5000  6 O 2.14
O: 0.1173 0.1173 0.1173  3 V 2.14, 1 Sr 2.36
O: 0.8827 0.8827 0.8827  3 V 2.14, 1 Sr 2.36



Entry 2:
# SrV6O11

A relaxed SrV6O11 crystal (PBE+U, Alexandria via LeMat-Bulk).

a b c (Å): 5.9115 5.9115 13.4172
angles (deg): 90.00 90.00 120.00
Last column: nearest neighbours and their distance in Å.
Fractional coordinates of all 36 atoms:
Sr: 0.3333 0.6667 0.2500  12 O 2.80-2.96
Sr: 0.6667 0.3333 0.7500  12 O 2.80-2.96
V: 0.0000 0.0000 0.1459  6 O 2.01-2.06
V: 0.0000 0.0000 0.3541  6 O 2.01-2.06
V: 0.0000 0.0000 0.6459  6 O 2.01-2.06
V: 0.0000 0.0000 0.8541  6 O 2.01-2.06
V: 0.0000 0.5000 0.0000  6 O 1.97-2.05
V: 0.0000 0.5000 0.5000  6 O 1.97-2.05
V: 0.3333 0.6667 0.7500  3 O 1.90
V: 0.5000 0.0000 0.0000  6 O 1.97-2.05
V: 0.5000 0.0000 0.5000  6 O 1.97-2.05
V: 0.5000 0.5000 0.0000  6 O 1.97-2.05
V: 0.5000 0.5000 0.5000  6 O 1.97-2.05
V: 0.6667 0.3333 0.2500  3 O 1.90
O: 0.1482 0.2964 0.7500  3 V 1.90-2.06
O: 0.1482 0.8518 0.7500  3 V 1.90-2.06
O: 0.1758 0.3516 0.0793  3 V 1.97-2.01
O: 0.1758 0.3516 0.4207  3 V 1.97-2.01
O: 0.1758 0.8242 0.0793  3 V 1.97-2.01
O: 0.1758 0.8242 0.4207  3 V 1.97-2.01
O: 0.2964 0.1482 0.2500  3 V 1.90-2.06
O: 0.3333 0.6667 0.5847  4 V 2.05-2.22
O: 0.3333 0.6667 0.9153  4 V 2.05-2.22
O: 0.3516 0.1758 0.5793  3 V 1.97-2.01
O: 0.3516 0.1758 0.9207  3 V 1.97-2.01
O: 0.6484 0.8242 0.0793  3 V 1.97-2.01
O: 0.6484 0.8242 0.4207  3 V 1.97-2.01
O: 0.6667 0.3333 0.0847  4 V 2.05-2.22
O: 0.6667 0.3333 0.4153  4 V 2.05-2.22
O: 0.7036 0.8518 0.7500  3 V 1.90-2.06
O: 0.8242 0.1758 0.5793  3 V 1.97-2.01
O: 0.8242 0.1758 0.9207  3 V 1.97-2.01
O: 0.8242 0.6484 0.5793  3 V 1.97-2.01
O: 0.8242 0.6484 0.9207  3 V 1.97-2.01
O: 0.8518 0.1482 0.2500  3 V 1.90-2.06
O: 0.8518 0.7036 0.2500  3 V 1.90-2.06



Entry 3:
# Sr3V5O12

A relaxed Sr3V5O12 crystal (PBE+U, Alexandria via LeMat-Bulk).

a b c (Å): 11.1847 11.1847 11.1847
angles (deg): 109.47 109.47 109.47
Last column: nearest neighbours and their distance in Å.
Fractional coordinates of all 80 atoms:
Sr: 0.1250 0.2500 0.3750  8 O 2.51-2.71
Sr: 0.1250 0.3750 0.7500  8 O 2.51-2.71
Sr: 0.2500 0.3750 0.1250  8 O 2.51-2.71
Sr: 0.2500 0.8750 0.6250  8 O 2.51-2.71
Sr: 0.3750 0.1250 0.2500  8 O 2.51-2.71
Sr: 0.3750 0.7500 0.1250  8 O 2.51-2.71
Sr: 0.6250 0.2500 0.8750  8 O 2.51-2.71
Sr: 0.6250 0.8750 0.7500  8 O 2.51-2.71
Sr: 0.7500 0.1250 0.3750  8 O 2.51-2.71
Sr: 0.7500 0.6250 0.8750  8 O 2.51-2.71
Sr: 0.8750 0.6250 0.2500  8 O 2.51-2.71
Sr: 0.8750 0.7500 0.6250  8 O 2.51-2.71
V: 0.0000 0.0000 0.0000  6 O 2.07
V: 0.0000 0.0000 0.5000  6 O 2.07
V: 0.0000 0.5000 0.0000  6 O 2.07
V: 0.0000 0.5000 0.5000  6 O 2.07
V: 0.1250 0.7500 0.8750  4 O 1.83
V: 0.1250 0.8750 0.2500  4 O 1.83
V: 0.2500 0.1250 0.8750  4 O 1.83
V: 0.2500 0.6250 0.3750  4 O 1.83
V: 0.3750 0.2500 0.6250  4 O 1.83
V: 0.3750 0.6250 0.7500  4 O 1.83
V: 0.5000 0.0000 0.0000  6 O 2.07
V: 0.5000 0.0000 0.5000  6 O 2.07
V: 0.5000 0.5000 0.0000  6 O 2.07
V: 0.5000 0.5000 0.5000  6 O 2.07
V: 0.6250 0.3750 0.2500  4 O 1.83
V: 0.6250 0.7500 0.3750  4 O 1.83
V: 0.7500 0.3750 0.6250  4 O 1.83
V: 0.7500 0.8750 0.1250  4 O 1.83
V: 0.8750 0.1250 0.7500  4 O 1.83
V: 0.8750 0.2500 0.1250  4 O 1.83
O: 0.0097 0.1948 0.1149  1 V 1.83
O: 0.0097 0.3149 0.8948  1 V 1.83
O: 0.0799 0.6948 0.6851  1 V 1.83
O: 0.0799 0.8851 0.3948  1 V 1.83
O: 0.1052 0.6149 0.4201  1 V 1.83
O: 0.1052 0.9903 0.6851  1 V 1.83
O: 0.1149 0.0097 0.1948  1 V 1.83
O: 0.1149 0.6052 0.9201  1 V 1.83
O: 0.1851 0.1948 0.5799  1 V 1.83
O: 0.1851 0.4903 0.6052  1 V 1.83
O: 0.1948 0.1149 0.0097  1 V 1.83
O: 0.1948 0.5799 0.1851  1 V 1.83
O: 0.3052 0.3149 0.9201  1 V 1.83
O: 0.3052 0.4903 0.3851  1 V 1.83
O: 0.3149 0.8948 0.0097  1 V 1.83
O: 0.3149 0.9201 0.3052  1 V 1.83
O: 0.3851 0.3052 0.4903  1 V 1.83
O: 0.3851 0.5799 0.8948  1 V 1.83
O: 0.3948 0.0799 0.8851  1 V 1.83
O: 0.3948 0.8149 0.5097  1 V 1.83
O: 0.4201 0.1052 0.6149  1 V 1.83
O: 0.4201 0.8149 0.8052  1 V 1.83
O: 0.4903 0.3851 0.3052  1 V 1.83
O: 0.4903 0.6052 0.1851  1 V 1.83
O: 0.5097 0.3948 0.8149  1 V 1.83
O: 0.5097 0.6149 0.6948  1 V 1.83
O: 0.5799 0.1851 0.1948  1 V 1.83
O: 0.5799 0.8948 0.3851  1 V 1.83
O: 0.6052 0.1851 0.4903  1 V 1.83
O: 0.6052 0.9201 0.1149  1 V 1.83
O: 0.6149 0.4201 0.1052  1 V 1.83
O: 0.6149 0.6948 0.5097  1 V 1.83
O: 0.6851 0.0799 0.6948  1 V 1.83
O: 0.6851 0.1052 0.9903  1 V 1.83
O: 0.6948 0.5097 0.6149  1 V 1.83
O: 0.6948 0.6851 0.0799  1 V 1.83
O: 0.8052 0.4201 0.8149  1 V 1.83
O: 0.8052 0.8851 0.9903  1 V 1.83
O: 0.8149 0.5097 0.3948  1 V 1.83
O: 0.8149 0.8052 0.4201  1 V 1.83
O: 0.8851 0.3948 0.0799  1 V 1.83
O: 0.8851 0.9903 0.8052  1 V 1.83
O: 0.8948 0.0097 0.3149  1 V 1.83
O: 0.8948 0.3851 0.5799  1 V 1.83
O: 0.9201 0.1149 0.6052  1 V 1.83
O: 0.9201 0.3052 0.3149  1 V 1.83
O: 0.9903 0.6851 0.1052  1 V 1.83
O: 0.9903 0.8052 0.8851  1 V 1.83



Entry 4:
# Sr5V3O13

A relaxed Sr5V3O13 crystal (PBE+U, Alexandria via LeMat-Bulk).

a b c (Å): 10.2417 10.2417 7.4827
angles (deg): 90.00 90.00 120.00
Last column: nearest neighbours and their distance in Å.
Fractional coordinates of all 42 atoms:
Sr: 0.0051 0.7521 0.0000  6 O 2.52-2.67
Sr: 0.2479 0.2530 0.0000  6 O 2.52-2.67
Sr: 0.2530 0.0051 0.5000  6 O 2.52-2.67
Sr: 0.3333 0.6667 0.2485  6 O 2.59-2.63
Sr: 0.3333 0.6667 0.7516  6 O 2.58-2.63
Sr: 0.6667 0.3333 0.2516  6 O 2.58-2.63
Sr: 0.6667 0.3333 0.7485  6 O 2.59-2.63
Sr: 0.7470 0.9949 0.0000  6 O 2.52-2.67
Sr: 0.7521 0.7470 0.5000  6 O 2.52-2.67
Sr: 0.9949 0.2479 0.5000  6 O 2.52-2.67
V: 0.0312 0.6325 0.5000  4 O 1.73-1.75
V: 0.3675 0.3987 0.5000  4 O 1.73-1.75
V: 0.3987 0.0312 0.0000  4 O 1.73-1.75
V: 0.6013 0.9688 0.5000  4 O 1.73-1.75
V: 0.6325 0.6013 0.0000  4 O 1.73-1.75
V: 0.9688 0.3675 0.0000  4 O 1.73-1.75
O: 0.0000 0.0000 0.4992  3 Sr 2.57
O: 0.0000 0.0000 0.9992  3 Sr 2.57
O: 0.0921 0.7506 0.3153  1 V 1.73
O: 0.0918 0.7508 0.6845  1 V 1.73
O: 0.1293 0.5330 0.5002  1 V 1.75
O: 0.1643 0.4858 0.9999  1 V 1.75
O: 0.2494 0.3415 0.3153  1 V 1.73
O: 0.2492 0.3410 0.6845  1 V 1.73
O: 0.3215 0.8357 0.9999  1 V 1.75
O: 0.3410 0.0918 0.1845  1 V 1.73
O: 0.3415 0.0921 0.8153  1 V 1.73
O: 0.4036 0.8707 0.5002  1 V 1.75
O: 0.4670 0.5964 0.5002  1 V 1.75
O: 0.4858 0.3215 0.4999  1 V 1.75
O: 0.5142 0.6785 0.9999  1 V 1.75
O: 0.5330 0.4036 0.0002  1 V 1.75
O: 0.5964 0.1293 0.0002  1 V 1.75
O: 0.6585 0.9079 0.3153  1 V 1.73
O: 0.6590 0.9082 0.6845  1 V 1.73
O: 0.6785 0.1643 0.4999  1 V 1.75
O: 0.7508 0.6590 0.1845  1 V 1.73
O: 0.7506 0.6585 0.8153  1 V 1.73
O: 0.8357 0.5142 0.4999  1 V 1.75
O: 0.8707 0.4670 0.0002  1 V 1.75
O: 0.9082 0.2492 0.1845  1 V 1.73
O: 0.9079 0.2494 0.8153  1 V 1.73



Entry 5:
# SrV2WO8

A relaxed SrV2WO8 crystal (PBE+U, Alexandria via LeMat-Bulk).

a b c (Å): 6.0000 6.0000 6.0000
angles (deg): 105.83 105.83 117.03
Last column: nearest neighbours and their distance in Å.
Fractional coordinates of all 12 atoms:
Sr: 0.0000 0.0000 0.0000  8 O 2.41-2.58
V: 0.5000 0.5000 0.0000  4 O 1.75
V: 0.7500 0.2500 0.5000  4 O 1.75
W: 0.2500 0.7500 0.5000  8 O 2.25-2.26
O: 0.3416 0.1419 0.8003  1 V 1.75
O: 0.3416 0.5413 0.1997  1 V 1.75
O: 0.3819 0.0522 0.3297  1 V 1.75
O: 0.4587 0.6584 0.8003  1 V 1.75
O: 0.7225 0.0522 0.6703  1 V 1.75
O: 0.8581 0.6584 0.1997  1 V 1.75
O: 0.9478 0.2775 0.3297  1 V 1.75
O: 0.9478 0.6181 0.6703  1 V 1.75



Entry 6:
# SrYV2O8

A relaxed SrYV2O8 crystal (PBE+U, Alexandria via LeMat-Bulk).

a b c (Å): 6.1862 6.1862 6.1862
angles (deg): 106.02 106.02 116.61
Last column: nearest neighbours and their distance in Å.
Fractional coordinates of all 12 atoms:
Sr: 0.0000 0.0000 0.0000  8 O 2.47-2.63
Y: 0.7500 0.2500 0.5000  8 O 2.39-2.47
V: 0.2500 0.7500 0.5000  4 O 1.74
V: 0.5000 0.5000 0.0000  4 O 1.75
O: 0.0730 0.3980 0.3250  1 V 1.74
O: 0.0730 0.7481 0.6750  1 V 1.74
O: 0.1523 0.3418 0.8105  1 V 1.75
O: 0.2519 0.9270 0.3250  1 V 1.74
O: 0.5313 0.3418 0.1895  1 V 1.75
O: 0.6020 0.9270 0.6750  1 V 1.74
O: 0.6582 0.4687 0.8105  1 V 1.75
O: 0.6582 0.8477 0.1895  1 V 1.75



Entry 7:
# Sr2YVO6

A relaxed Sr2YVO6 crystal (PBE+U, Alexandria via LeMat-Bulk).

a b c (Å): 5.7451 5.7451 5.8211
angles (deg): 119.72 119.72 60.27
Last column: nearest neighbours and their distance in Å.
Fractional coordinates of all 10 atoms:
Sr: 0.2474 0.2474 0.2378  5 O 2.54-2.65
Sr: 0.7526 0.7526 0.7622  5 O 2.54-2.65
Y: 0.0000 0.0000 0.5000  6 O 2.24-2.25
V: 0.5000 0.5000 0.0000  6 O 1.92
O: 0.2257 0.6920 0.1869  1 V 1.92
O: 0.2716 0.2716 0.6968  1 V 1.92
O: 0.3080 0.7743 0.8131  1 V 1.92
O: 0.6920 0.2257 0.1869  1 V 1.92
O: 0.7284 0.7284 0.3032  1 V 1.92
O: 0.7743 0.3080 0.8131  1 V 1.92



Entry 8:
# SrV2ZnO7

A relaxed SrV2ZnO7 crystal (PBE+U, Alexandria via LeMat-Bulk).

a b c (Å): 7.6149 6.7783 13.6066
angles (deg): 90.00 117.72 90.00
Last column: nearest neighbours and their distance in Å.
Fractional coordinates of all 44 atoms:
Sr: 0.2311 0.1493 0.4757  7 O 2.54-2.78
Sr: 0.2311 0.3507 0.9757  7 O 2.54-2.78
Sr: 0.7689 0.6493 0.0243  7 O 2.54-2.78
Sr: 0.7689 0.8507 0.5243  7 O 2.54-2.78
V: 0.2171 0.6560 0.4604  4 O 1.68-1.82
V: 0.2171 0.8440 0.9604  4 O 1.68-1.82
V: 0.3085 0.5879 0.7210  4 O 1.72-1.84
V: 0.3085 0.9121 0.2210  4 O 1.72-1.84
V: 0.6915 0.0879 0.7790  4 O 1.72-1.84
V: 0.6915 0.4121 0.2790  4 O 1.72-1.84
V: 0.7829 0.1560 0.0396  4 O 1.68-1.82
V: 0.7829 0.3440 0.5396  4 O 1.68-1.82
Zn: 0.2102 0.1066 0.7322  5 O 1.98-2.14
Zn: 0.2102 0.3934 0.2322  5 O 1.98-2.14
Zn: 0.7898 0.6066 0.7678  5 O 1.98-2.14
Zn: 0.7898 0.8934 0.2678  5 O 1.98-2.14
O: 0.0182 0.6761 0.9203  1 V 1.77
O: 0.0182 0.8239 0.4203  1 V 1.77
O: 0.1725 0.6990 0.1952  1 V 1.72
O: 0.1725 0.8010 0.6952  1 V 1.72
O: 0.1980 0.0299 0.8696  1 V 1.72
O: 0.1980 0.4701 0.3696  1 V 1.72
O: 0.2312 0.0908 0.2820  1 V 1.72
O: 0.2312 0.4092 0.7820  1 V 1.72
O: 0.2562 0.5081 0.5804  2 V 1.82-1.84
O: 0.2562 0.9919 0.0804  2 V 1.82-1.84
O: 0.4137 0.6971 0.9906  1 V 1.68
O: 0.4137 0.8029 0.4906  1 V 1.68
O: 0.4391 0.1296 0.6981  1 V 1.74
O: 0.4391 0.3704 0.1981  1 V 1.74
O: 0.5609 0.6296 0.8019  1 V 1.74
O: 0.5609 0.8704 0.3019  1 V 1.74
O: 0.5863 0.1971 0.5094  1 V 1.68
O: 0.5863 0.3029 0.0094  1 V 1.68
O: 0.7438 0.0081 0.9196  2 V 1.82-1.84
O: 0.7438 0.4919 0.4196  2 V 1.82-1.84
O: 0.7688 0.5908 0.2180  1 V 1.72
O: 0.7688 0.9092 0.7180  1 V 1.72
O: 0.8020 0.5299 0.6304  1 V 1.72
O: 0.8020 0.9701 0.1304  1 V 1.72
O: 0.8275 0.1990 0.3048  1 V 1.72
O: 0.8275 0.3010 0.8048  1 V 1.72
O: 0.9818 0.1761 0.5797  1 V 1.77
O: 0.9818 0.3239 0.0797  1 V 1.77



Entry 9:
# Sr2VZnO6

A relaxed Sr2VZnO6 crystal (PBE+U, Alexandria via LeMat-Bulk).

a b c (Å): 10.0202 10.0202 10.0202
angles (deg): 32.42 32.42 32.42
Last column: nearest neighbours and their distance in Å.
Fractional coordinates of all 20 atoms:
Sr: 0.1318 0.1318 0.1318  12 O 2.81-3.03
Sr: 0.2822 0.2822 0.2822  9 O 2.62-2.81
Sr: 0.7178 0.7178 0.7178  9 O 2.62-2.81
Sr: 0.8682 0.8682 0.8682  12 O 2.81-3.03
V: 0.4060 0.4060 0.4060  3 O 1.78
V: 0.5940 0.5940 0.5940  3 O 1.78
Zn: 0.0000 0.0000 0.0000  6 O 2.06
Zn: 0.5000 0.5000 0.5000  6 O 2.00
O: 0.1380 0.6134 0.6134  1 Zn 2.00, 1 V 2.07
O: 0.2148 0.2148 0.6985  1 V 1.78
O: 0.2148 0.6985 0.2148  1 V 1.78
O: 0.3015 0.7852 0.7852  1 V 1.78
O: 0.3866 0.3866 0.8620  1 Zn 2.00, 1 V 2.07
O: 0.3866 0.8620 0.3866  1 Zn 2.00, 1 V 2.07
O: 0.6134 0.1380 0.6134  1 Zn 2.00, 1 V 2.07
O: 0.6134 0.6134 0.1380  1 Zn 2.00, 1 V 2.07
O: 0.6985 0.2148 0.2148  1 V 1.78
O: 0.7852 0.3015 0.7852  1 V 1.78
O: 0.7852 0.7852 0.3015  1 V 1.78
O: 0.8620 0.3866 0.3866  1 Zn 2.00, 1 V 2.07



Entry 10:
# SrVZnO4

A relaxed SrVZnO4 crystal (PBE+U, Alexandria via LeMat-Bulk).

a b c (Å): 6.0945 5.8871 6.3867
angles (deg): 90.00 108.10 90.00
Last column: nearest neighbours and their distance in Å.
Fractional coordinates of all 14 atoms:
Sr: 0.2267 0.2500 0.4568  6 O 2.53-2.64
Sr: 0.7733 0.7500 0.5432  6 O 2.53-2.64
V: 0.2552 0.7500 0.1860  4 O 1.81-1.85
V: 0.7448 0.2500 0.8140  4 O 1.81-1.85
Zn: 0.3485 0.7500 0.7431  4 O 1.94-2.12
Zn: 0.6515 0.2500 0.2569  4 O 1.94-2.12
O: 0.1146 0.7500 0.8913  1 V 1.81, 1 Zn 1.94
O: 0.1270 0.7500 0.4136  1 V 1.85
O: 0.4504 0.5068 0.2603  1 V 1.83, 1 Zn 1.95
O: 0.4504 0.9932 0.2603  1 V 1.83, 1 Zn 1.95
O: 0.5496 0.0068 0.7397  1 V 1.83, 1 Zn 1.95
O: 0.5496 0.4932 0.7397  1 V 1.83, 1 Zn 1.95
O: 0.8730 0.2500 0.5864  1 V 1.85
O: 0.8854 0.2500 0.1087  1 V 1.81, 1 Zn 1.94



Entry 11:
# Sr3VZn2O8

A relaxed Sr3VZn2O8 crystal (PBE+U, Alexandria via LeMat-Bulk).

a b c (Å): 5.5745 5.5745 7.2842
angles (deg): 90.00 90.00 120.00
Last column: nearest neighbours and their distance in Å.
Fractional coordinates of all 14 atoms:
Sr: 0.0000 0.0000 0.0000  12 O 2.94-3.24
Sr: 0.3333 0.6667 0.6313  1 O 2.34
Sr: 0.6667 0.3333 0.3687  1 O 2.34
V: 0.0000 0.0000 0.5000  6 O 1.90
Zn: 0.3333 0.6667 0.2044  4 O 1.83-1.98
Zn: 0.6667 0.3333 0.7956  4 O 1.83-1.98
O: 0.1580 0.3160 0.3444  1 V 1.90, 1 Zn 1.98
O: 0.1580 0.8420 0.3444  1 V 1.90, 1 Zn 1.98
O: 0.3160 0.1580 0.6556  1 V 1.90, 1 Zn 1.98
O: 0.3333 0.6667 0.9527  1 Zn 1.83
O: 0.6667 0.3333 0.0473  1 Zn 1.83
O: 0.6840 0.8420 0.3444  1 V 1.90, 1 Zn 1.98
O: 0.8420 0.1580 0.6556  1 V 1.90, 1 Zn 1.98
O: 0.8420 0.6840 0.6556  1 V 1.90, 1 Zn 1.98



Entry 12:
# Sr4V3ZnO12

A relaxed Sr4V3ZnO12 crystal (PBE+U, Alexandria via LeMat-Bulk).

a b c (Å): 6.7951 6.7951 6.7951
angles (deg): 109.47 109.47 109.47
Last column: nearest neighbours and their distance in Å.
Fractional coordinates of all 20 atoms:
Sr: 0.0000 0.0000 0.5000  12 O 2.77-2.78
Sr: 0.0000 0.5000 0.0000  12 O 2.77-2.78
Sr: 0.5000 0.0000 0.0000  12 O 2.77-2.78
Sr: 0.5000 0.5000 0.5000  12 O 2.77-2.78
V: 0.0000 0.5000 0.5000  6 O 1.84-1.96
V: 0.5000 0.0000 0.5000  6 O 1.84-1.96
V: 0.5000 0.5000 0.0000  6 O 1.84-1.96
Zn: 0.0000 0.0000 0.0000  6 O 2.08
O: 0.0000 0.2650 0.2650  1 V 1.84
O: 0.0000 0.7350 0.7350  1 V 1.84
O: 0.2500 0.5000 0.7500  2 V 1.96
O: 0.2500 0.7500 0.5000  2 V 1.96
O: 0.2650 0.0000 0.2650  1 V 1.84
O: 0.2650 0.2650 0.0000  1 V 1.84
O: 0.5000 0.2500 0.7500  2 V 1.96
O: 0.5000 0.7500 0.2500  2 V 1.96
O: 0.7350 0.0000 0.7350  1 V 1.84
O: 0.7350 0.7350 0.0000  1 V 1.84
O: 0.7500 0.2500 0.5000  2 V 1.96
O: 0.7500 0.5000 0.2500  2 V 1.96



Entry 13:
# Sr2VZn2O6

A relaxed Sr2VZn2O6 crystal (PBE+U, Alexandria via LeMat-Bulk).

a b c (Å): 6.2040 6.2040 6.2040
angles (deg): 56.58 56.58 56.58
Last column: nearest neighbours and their distance in Å.
Fractional coordinates of all 11 atoms:
Sr: 0.2090 0.2090 0.2090  3 O 2.52
Sr: 0.7910 0.7910 0.7910  3 O 2.52
V: 0.0000 0.0000 0.0000  6 O 1.97
Zn: 0.4110 0.4110 0.4110  3 O 1.87
Zn: 0.5890 0.5890 0.5890  3 O 1.87
O: 0.2202 0.7699 0.7699  1 Zn 1.87, 1 V 1.97
O: 0.2301 0.2301 0.7798  1 Zn 1.87, 1 V 1.97
O: 0.2301 0.7798 0.2301  1 Zn 1.87, 1 V 1.97
O: 0.7699 0.2202 0.7699  1 Zn 1.87, 1 V 1.97
O: 0.7699 0.7699 0.2202  1 Zn 1.87, 1 V 1.97
O: 0.7798 0.2301 0.2301  1 Zn 1.87, 1 V 1.97



| no. | uncorrected energy (eV per formula unit) |
| --- | --- |
| 1 | -25.37 |
| 2 | -139.90 |
| 3 | -148.64 |
| 4 | -148.41 |
| 5 | -87.37 |
| 6 | -91.22 |
| 7 | -74.62 |
| 8 | -75.62 |
| 9 | -62.60 |
| 10 | -44.76 |
| 11 | -82.82 |
| 12 | -136.69 |
| 13 | -64.57 |